1.
Material: Pt3Au
Method: DFT, meta-GGA SCAN
State: PBEsol geometry

Output
Magnetization: 0.26 μB/cell
E: -69.791 eV per atom

Geometry as CIF:
```
data_Pt3Au
_cell_length_a 2.756
_cell_length_b 4.700
_cell_length_c 4.790
_cell_angle_alpha 90.00
_cell_angle_beta 90.00
_cell_angle_gamma 90.00
_space_group_name_H-M_alt 'P m m 2'
_space_group_IT_number 25
_space_group_name_Hall 'P 2 -2'
loop_
_atom_site_label
_atom_site_fract_x
_atom_site_fract_y
_atom_site_fract_z
Pt1 0.000 0.000 0.000
Pt2 0.000 0.500 0.332
Pt3 0.500 0.500 0.841
Au1 0.500 0.000 0.502
```

***

2.
Material: CrGeTe3
Method: DFT, meta-GGA SCAN
State: PBEsol geometry

Output
ΔE_f (raw): -0.30 eV/atom
Magnetization: 17.98 μB/cell
E: -30.143 eV per atom

Geometry as CIF:
```
data_CrGeTe3
_cell_length_a 6.8176
_cell_length_b 6.8176
_cell_length_c 20.0462
_cell_angle_alpha 90.00
_cell_angle_beta 90.00
_cell_angle_gamma 120.00
_space_group_name_H-M_alt 'R -3'
_space_group_IT_number 148
_space_group_name_Hall '-R 3'
loop_
_atom_site_label
_atom_site_fract_x
_atom_site_fract_y
_atom_site_fract_z
Cr1 0.0000 0.0000 0.1652
Ge1 0.0000 0.0000 0.4403
Te1 0.0039 0.3767 0.4159
```

***

3.
Material: Ca2Mg5Si8H2O24
Method: DFT, meta-GGA SCAN
State: PBEsol geometry

Output
Magnetization: 0.00 μB/cell
E: -9.872 eV per atom

Geometry as CIF:
```
data_Ca2Mg5Si8H2O24
_cell_length_a 9.874
_cell_length_b 18.070
_cell_length_c 5.292
_cell_angle_alpha 90.00
_cell_angle_beta 104.70
_cell_angle_gamma 90.00
_space_group_name_H-M_alt 'C 1 2/m 1'
_space_group_IT_number 12
_space_group_name_Hall '-C 2y'
loop_
_atom_site_label
_atom_site_fract_x
_atom_site_fract_y
_atom_site_fract_z
Ca1 0.000 0.222 0.000
Mg1 0.000 0.324 0.500
Mg2 0.000 0.412 0.000
Mg3 0.000 0.500 0.500
Si1 0.212 0.172 0.697
Si2 0.220 0.084 0.204
H1 0.212 0.500 0.267
O1 0.110 0.500 0.215
O2 0.111 0.414 0.717
O3 0.118 0.328 0.223
O4 0.134 0.249 0.710
O5 0.153 0.135 0.400
O6 0.156 0.118 0.910
O7 0.162 0.000 0.212
```

***

4.
Material: SnHSe2Br
Method: DFT, meta-GGA SCAN
State: PBEsol geometry

Output
Magnetization: 0.00 μB/cell
E: -19.586 eV per atom

Geometry as CIF:
```
data_SnHSe2Br
_cell_length_a 4.141
_cell_length_b 4.141
_cell_length_c 5.734
_cell_angle_alpha 90.00
_cell_angle_beta 90.00
_cell_angle_gamma 90.00
_space_group_name_H-M_alt 'P 4/m m m'
_space_group_IT_number 123
_space_group_name_Hall '-P 4 2'
loop_
_atom_site_label
_atom_site_fract_x
_atom_site_fract_y
_atom_site_fract_z
Sn1 0.000 0.000 0.000
H1 0.500 0.500 0.500
Se1 0.000 0.500 0.500
Br1 0.500 0.500 0.000
```

***

5.
Material: Li2CuAu
Method: DFT, meta-GGA SCAN
State: PBEsol geometry

Output
Magnetization: 0.00 μB/cell
E: -22.649 eV per atom

Geometry as CIF:
```
data_Li2CuAu
_cell_length_a 3.740
_cell_length_b 3.740
_cell_length_c 3.840
_cell_angle_alpha 90.00
_cell_angle_beta 90.00
_cell_angle_gamma 90.00
_space_group_name_H-M_alt 'P 4/m m m'
_space_group_IT_number 123
_space_group_name_Hall '-P 4 2'
loop_
_atom_site_label
_atom_site_fract_x
_atom_site_fract_y
_atom_site_fract_z
Li1 0.000 0.500 0.000
Cu1 0.000 0.000 0.500
Au1 0.500 0.500 0.500
```

***

6.
Material: ReIrRh
Method: DFT, meta-GGA SCAN
State: PBEsol geometry

Output
Magnetization: 0.00 μB/cell
E: -58.826 eV per atom
ΔE to the lowest computed polymorph: 3 kJ/mol of formula units

Geometry as CIF:
```
data_ReIrRh
_cell_length_a 2.711
_cell_length_b 2.711
_cell_length_c 11.469
_cell_angle_alpha 90.00
_cell_angle_beta 90.00
_cell_angle_gamma 90.00
_space_group_name_H-M_alt 'I 4 m m'
_space_group_IT_number 107
_space_group_name_Hall 'I 4 -2'
loop_
_atom_site_label
_atom_site_fract_x
_atom_site_fract_y
_atom_site_fract_z
Re1 0.000 0.000 0.000
Ir1 0.000 0.000 0.338
Rh1 0.000 0.000 0.663
```

***

7.
Material: SbTe2RuAu
Method: DFT, meta-GGA SCAN
State: PBEsol geometry

Output
ΔE_f (raw): 0.63 eV/atom
Magnetization: 0.00 μB/cell
E: -42.523 eV per atom
ΔE to the lowest computed polymorph: 0 kJ/mol of formula units

Geometry as CIF:
```
data_SbTe2RuAu
_cell_length_a 5.127
_cell_length_b 5.127
_cell_length_c 4.961
_cell_angle_alpha 90.00
_cell_angle_beta 90.00
_cell_angle_gamma 90.00
_space_group_name_H-M_alt 'P 4/m m m'
_space_group_IT_number 123
_space_group_name_Hall '-P 4 2'
loop_
_atom_site_label
_atom_site_fract_x
_atom_site_fract_y
_atom_site_fract_z
Sb1 0.000 0.000 0.000
Te1 0.000 0.500 0.500
Ru1 0.000 0.000 0.500
Au1 0.500 0.500 0.000
```

***

8.
Material: LaAl2P
Method: DFT, meta-GGA SCAN
State: PBEsol geometry

Output
Magnetization: 0.00 μB/cell
E: -17.721 eV per atom

Geometry as CIF:
```
data_LaAl2P
_cell_length_a 3.546
_cell_length_b 4.607
_cell_length_c 10.119
_cell_angle_alpha 90.00
_cell_angle_beta 90.00
_cell_angle_gamma 90.00
_space_group_name_H-M_alt 'I m m m'
_space_group_IT_number 71
_space_group_name_Hall '-I 2 2'
loop_
_atom_site_label
_atom_site_fract_x
_atom_site_fract_y
_atom_site_fract_z
La1 0.000 0.000 0.000
Al1 0.000 0.500 0.214
P1 0.000 0.000 0.500
```

***

9.
Material: K2BaCr
Method: DFT, meta-GGA SCAN
State: PBEsol geometry

Output
Magnetization: 10.50 μB/cell
E: -18.176 eV per atom
ΔE to the lowest computed polymorph: 39 kJ/mol of formula units

Geometry as CIF:
```
data_K2BaCr
_cell_length_a 5.241
_cell_length_b 5.241
_cell_length_c 13.402
_cell_angle_alpha 90.00
_cell_angle_beta 90.00
_cell_angle_gamma 90.00
_space_group_name_H-M_alt 'I 4/m m m'
_space_group_IT_number 139
_space_group_name_Hall '-I 4 2'
loop_
_atom_site_label
_atom_site_fract_x
_atom_site_fract_y
_atom_site_fract_z
K1 0.000 0.500 0.250
Ba1 0.000 0.000 0.000
Cr1 0.000 0.000 0.500
```

***

10.
Material: Ru3Rh
Method: DFT, meta-GGA SCAN
State: PBEsol geometry

Output
Magnetization: 0.00 μB/cell
E: -34.475 eV per atom

Geometry as CIF:
```
data_Ru3Rh
_cell_length_a 2.658
_cell_length_b 3.774
_cell_length_c 5.323
_cell_angle_alpha 90.00
_cell_angle_beta 90.00
_cell_angle_gamma 90.00
_space_group_name_H-M_alt 'P m m m'
_space_group_IT_number 47
_space_group_name_Hall '-P 2 2'
loop_
_atom_site_label
_atom_site_fract_x
_atom_site_fract_y
_atom_site_fract_z
Ru1 0.000 0.000 0.000
Ru2 0.500 0.500 0.246
Rh1 0.000 0.000 0.500
```

***

11.
Material: AgWSe2Br
Method: DFT, meta-GGA SCAN
State: PBEsol geometry

Output
ΔE_f (raw): 1.42 eV/atom
Magnetization: 3.49 μB/cell
E: -30.718 eV per atom

Geometry as CIF:
```
data_AgWSe2Br
_cell_length_a 4.994
_cell_length_b 4.994
_cell_length_c 4.858
_cell_angle_alpha 90.00
_cell_angle_beta 90.00
_cell_angle_gamma 90.00
_space_group_name_H-M_alt 'P 4/m m m'
_space_group_IT_number 123
_space_group_name_Hall '-P 4 2'
loop_
_atom_site_label
_atom_site_fract_x
_atom_site_fract_y
_atom_site_fract_z
Ag1 0.000 0.000 0.000
W1 0.500 0.500 0.500
Se1 0.000 0.500 0.000
Br1 0.000 0.000 0.500
```

***

12.
Material: CaLa3C
Method: DFT, meta-GGA SCAN
State: PBEsol geometry

Output
Magnetization: 0.48 μB/cell
E: -27.770 eV per atom

Geometry as CIF:
```
data_CaLa3C
_cell_length_a 5.369
_cell_length_b 5.369
_cell_length_c 5.369
_cell_angle_alpha 90.00
_cell_angle_beta 90.00
_cell_angle_gamma 90.00
_space_group_name_H-M_alt 'P m -3 m'
_space_group_IT_number 221
_space_group_name_Hall '-P 4 2 3'
loop_
_atom_site_label
_atom_site_fract_x
_atom_site_fract_y
_atom_site_fract_z
Ca1 0.000 0.000 0.000
La1 0.000 0.000 0.500
C1 0.500 0.500 0.500
```